1.
The following is a DFT calculation (GGA-PBE) of an optimized crystal structure of La2Hg2Pd.

Structure (extended XYZ):
```
5
Lattice="-2.0177 2.0177 8.7778 2.0177 -2.0177 8.7778 2.0177 2.0177 -8.7778" Properties=species:S:1:pos:R:3 pbc="T T T"
La 0.0000 0.0000 1.6082
La 0.0000 0.0000 15.9473
Hg 2.0177 0.0000 4.3889
Hg 0.0000 2.0177 4.3889
Pd 0.0000 0.0000 8.7778
```

Values from the calculation:
The value obtained for the total magnetization is 0.00 μB per cell. The calculated density is 9.124 g cm⁻³. As for the energy above the most stable polymorph in this dataset: 0.65 eV/f.u.

***

2.
The following is a DFT calculation (GGA-PBE) of an optimized crystal structure of La2HgPd2.

Structure (extended XYZ):
```
5
Lattice="-1.9928 1.9928 8.2975 1.9928 -1.9928 8.2975 1.9928 1.9928 -8.2975" Properties=species:S:1:pos:R:3 pbc="T T T"
La 0.0000 0.0000 1.9415
La 0.0000 0.0000 14.6535
Hg 0.0000 0.0000 8.2975
Pd 1.9928 0.0000 4.1487
Pd 0.0000 1.9928 4.1487
```

Values from the calculation:
Its uncorrected energy is -23.36 eV per formula unit. The value obtained for the total magnetization is 0.00 μB per cell. The calculated density is 8.709 g cm⁻³.

***

3.
The following is a DFT calculation (GGA-PBE) of an optimized crystal structure of La3Hg2Pd2.

Structure (extended XYZ):
```
7
Lattice="2.0570 -11.7174 0.0000 2.0570 11.7174 0.0000 0.0000 0.0000 3.8955" Properties=species:S:1:pos:R:3 pbc="T T T"
La 0.0000 0.0000 0.0000
La 2.0570 7.7496 0.0000
La 2.0570 -7.7496 0.0000
Hg 2.0570 1.9359 1.9477
Hg 2.0570 -1.9359 1.9477
Pd 2.0570 4.9317 1.9477
Pd 2.0570 -4.9317 1.9477
```

Values from the calculation:
Its uncorrected energy is -30.59 eV per formula unit. The value obtained for the total magnetization is 0.40 μB per cell. The calculated density is 9.115 g cm⁻³.

***

4.
The following is a DFT calculation (GGA-PBE) of an optimized crystal structure of La2Hg5Pd3.

Structure (extended XYZ):
```
20
Lattice="2.2637 -13.4788 0.0000 2.2637 13.4788 0.0000 0.0000 0.0000 7.6711" Properties=species:S:1:pos:R:3 pbc="T T T"
La 2.2637 12.7623 3.8356
La 2.2637 4.8087 3.0545
La 2.2637 -4.8087 6.8900
La 2.2637 -12.7623 0.0000
Hg 2.2637 10.8281 0.8790
Hg 2.2637 7.9768 1.5341
Hg 2.2637 7.9349 4.5112
Hg 2.2637 3.3963 7.4132
Hg 2.2637 1.4485 2.5637
Hg 2.2637 -1.4485 6.3992
Hg 2.2637 -3.3963 3.5777
Hg 2.2637 -7.9349 0.6756
Hg 2.2637 -7.9768 5.3696
Hg 2.2637 -10.8281 4.7145
Pd 2.2637 10.4668 5.6539
Pd 2.2637 6.3733 6.8454
Pd 2.2637 1.1683 5.5263
Pd 2.2637 -1.1683 1.6907
Pd 2.2637 -6.3733 3.0098
Pd 2.2637 -10.4668 1.8183
```

Values from the calculation:
Its uncorrected energy is -31.91 eV per formula unit. The value obtained for the total magnetization is 0.00 μB per cell. The calculated density is 11.351 g cm⁻³.

***

5.
The following is a DFT calculation (GGA-PBE) of an optimized crystal structure of La8HgPd2.

Structure (extended XYZ):
```
11
Lattice="11.0728 -1.9930 0.0000 11.0728 1.9930 0.0000 -1.5703 0.0000 8.1726" Properties=species:S:1:pos:R:3 pbc="T T T"
La 0.4376 0.0000 1.7951
La 3.8595 0.0000 6.7560
La 6.6047 0.0000 4.3077
La 8.6246 0.0000 0.7253
La 11.9506 0.0000 7.4473
La 13.9705 0.0000 3.8649
La 16.7157 0.0000 1.4166
La 20.1376 0.0000 6.3775
Hg 10.2876 0.0000 4.0863
Pd 3.4516 0.0000 1.6167
Pd 17.1236 0.0000 6.5559
```

Values from the calculation:
Its uncorrected energy is -53.37 eV per formula unit. The value obtained for the total magnetization is 0.00 μB per cell. The calculated density is 7.019 g cm⁻³.

***

6.
The following is a DFT calculation (GGA-PBE) of an optimized crystal structure of La3HgPd.

Structure (extended XYZ):
```
10
Lattice="5.2093 -7.5765 0.0000 5.2093 7.5765 0.0000 0.0000 0.0000 4.1314" Properties=species:S:1:pos:R:3 pbc="T T T"
La 5.2093 4.9987 0.0000
La 3.1554 1.7213 2.0657
La 3.1554 -1.7213 2.0657
La 7.2633 1.7213 2.0657
La 7.2633 -1.7213 2.0657
La 5.2093 -4.9987 0.0000
Hg 0.0000 0.0000 2.0657
Hg 5.2093 0.0000 0.0000
Pd 2.6047 3.7883 0.0000
Pd 2.6047 -3.7883 0.0000
```

Values from the calculation:
The value obtained for the total magnetization is 0.00 μB per cell. The calculated density is 7.370 g cm⁻³. As for the energy above the most stable polymorph in this dataset: 0.33 eV/f.u.

***

7.
The following is a DFT calculation (GGA-PBE) of an optimized crystal structure of La6HgPd.

Structure (extended XYZ):
```
8
Lattice="3.6453 -6.0245 0.0000 3.6453 6.0245 0.0000 -2.9329 0.0000 6.3458" Properties=species:S:1:pos:R:3 pbc="T T T"
La 0.8689 2.4237 1.5420
La -0.5185 0.0000 4.9178
La 0.8689 -2.4237 1.5420
La 3.4888 2.4237 4.8038
La 4.8762 0.0000 1.4280
La 3.4888 -2.4237 4.8038
Hg 2.1789 0.0000 3.1729
Pd 0.0000 0.0000 0.0000
```

Values from the calculation:
Its uncorrected energy is -36.21 eV per formula unit. The value obtained for the total magnetization is 0.00 μB per cell. The calculated density is 6.794 g cm⁻³.

***

8.
The following is a DFT calculation (GGA-PBE) of an optimized crystal structure of La2HgPd9.

Structure (extended XYZ):
```
12
Lattice="4.1942 0.0000 0.0000 0.0000 4.1942 0.0000 0.0000 0.0000 12.4180" Properties=species:S:1:pos:R:3 pbc="T T T"
La 0.0000 0.0000 2.1636
La 0.0000 0.0000 10.2544
Hg 0.0000 0.0000 6.2090
Pd 0.0000 2.0971 0.0000
Pd 0.0000 2.0971 4.2371
Pd 0.0000 2.0971 8.1808
Pd 2.0971 0.0000 0.0000
Pd 2.0971 0.0000 4.2371
Pd 2.0971 0.0000 8.1808
Pd 2.0971 2.0971 2.1037
Pd 2.0971 2.0971 6.2090
Pd 2.0971 2.0971 10.3143
```

Values from the calculation:
The value obtained for the total magnetization is 0.00 μB per cell. The calculated density is 10.917 g cm⁻³. As for the energy above the most stable polymorph in this dataset: 0.00 eV/f.u.